# LaBiCl3

A crystal of LaBiCl3 relaxed with PBEsol (meta-GGA SCAN, the Alexandria database). Values from VASP.

Calculated values
- formation energy without anion corrections (eV per atom) = -1.502
- size of the total moment (μB/f.u.) = 3.00
- raw total energy (eV/atom) = -30.626

```
&SYSTEM
  ibrav = 0, nat = 5, ntyp = 3
/
ATOMIC_SPECIES
La 138.91 La.upf
Bi 208.98 Bi.upf
Cl 35.45 Cl.upf
ATOMIC_POSITIONS angstrom
La 0.000 0.000 0.000
Bi 2.779 2.779 2.779
Cl 0.000 0.000 2.779
Cl 0.000 2.779 0.000
Cl 2.779 0.000 0.000
CELL_PARAMETERS angstrom
5.558 0.000 0.000
0.000 5.558 0.000
0.000 0.000 5.558
```